CuSe2 | Alexandria via LeMat-Bulk | PBE-GGA | optimized geometry; raw total energy = -3.41 eV per atom; crystal system = tetragonal; energy relative to the elements, uncorrected = 0.274 eV per atom
1.0
4.643 0.000 0.000
0.000 4.643 0.000
0.000 0.000 2.791
Cu Se
1 2
direct
0.000 0.000 0.000
0.500 0.000 0.500
0.000 0.500 0.500